VASP calculation (PBE) on DyInNiRh after structural relaxation.

a = 6.6030 Å, b = 6.6030 Å, c = 6.6030 Å
α = 90.00°, β = 90.00°, γ = 90.00°
Space group F-43m (No. 216)
Symmetry-distinct sites (fractional):
1 Dy 0.0000 0.0000 0.0000 (multiplicity 4)
2 In 0.0000 0.0000 0.5000 (multiplicity 4)
3 Ni 0.2500 0.2500 0.2500 (multiplicity 4)
4 Rh 0.2500 0.2500 0.7500 (multiplicity 4)

Calculated values
V	72	Å³/f.u.
energy of formation	-528	meV/atom


VASP calculation (PBE) on TmNiSn4 after structural relaxation.

a = 4.4106 Å, b = 28.1748 Å, c = 4.5248 Å
α = 90.00°, β = 90.00°, γ = 90.00°
Space group Cmmm (No. 65)
Symmetry-distinct sites (fractional):
1 Tm 0.0000 0.1953 0.0000 (multiplicity 4)
2 Ni 0.0000 0.4473 0.5000 (multiplicity 4)
3 Sn 0.0000 0.0000 0.5000 (multiplicity 2)
4 Sn 0.0000 0.1106 0.5000 (multiplicity 4)
5 Sn 0.0000 0.2865 0.5000 (multiplicity 4)
6 Sn 0.0000 0.3904 0.0000 (multiplicity 4)
7 Sn 0.0000 0.5000 0.0000 (multiplicity 2)

Calculated values
V	141	Å³/f.u.
ΔE to the lowest computed polymorph	0.000	eV/atom
energy of formation	-315	meV/atom


VASP calculation (PBE) on Sm3PdPt2 after structural relaxation.

a = 5.0571 Å, b = 15.1773 Å, c = 3.5599 Å
α = 90.00°, β = 90.00°, γ = 90.00°
Space group Cmmm (No. 65)
Symmetry-distinct sites (fractional):
1 Sm 0.0000 0.0000 0.0000 (multiplicity 2)
2 Sm 0.0000 0.3309 0.0000 (multiplicity 4)
3 Pd 0.0000 0.5000 0.5000 (multiplicity 2)
4 Pt 0.0000 0.1634 0.5000 (multiplicity 4)

Calculated values
V	137	Å³/f.u.
energy of formation	-1010	meV/atom


VASP calculation (PBE) on HoFeCo3 after structural relaxation.

a = 4.8526 Å, b = 6.6083 Å, c = 8.9270 Å
α = 90.00°, β = 90.00°, γ = 90.00°
Space group Imma (No. 74)
Symmetry-distinct sites (fractional):
1 Ho 0.0000 0.2500 0.0105 (multiplicity 4)
2 Fe 0.0000 0.0000 0.5000 (multiplicity 4)
3 Co 0.0000 0.2500 0.3083 (multiplicity 4)
4 Co 0.2500 0.0652 0.7500 (multiplicity 8)

Calculated values
V	72	Å³/f.u.
energy of formation	5	meV/atom


VASP calculation (PBE) on Mn5B2P after structural relaxation.

a = 5.5067 Å, b = 5.5067 Å, c = 10.2866 Å
α = 90.00°, β = 90.00°, γ = 90.00°
Space group I4/mcm (No. 140)
Symmetry-distinct sites (fractional):
1 Mn 0.0000 0.0000 0.0000 (multiplicity 4)
2 Mn 0.1688 0.3312 0.1397 (multiplicity 16)
3 B 0.1189 0.3811 0.5000 (multiplicity 8)
4 P 0.0000 0.0000 0.2500 (multiplicity 4)

Calculated values
V	78	Å³/f.u.
energy of formation	-471	meV/atom


VASP calculation (PBE) on Sm8Cd2Cu after structural relaxation.

a = 18.2742 Å, b = 5.3272 Å, c = 6.9394 Å
α = 90.00°, β = 104.84°, γ = 90.00°
Space group C2/m (No. 12)
Symmetry-distinct sites (fractional):
1 Sm 0.0193 0.0000 0.2738 (multiplicity 4)
2 Sm 0.0907 0.5000 0.9470 (multiplicity 4)
3 Sm 0.1540 0.5000 0.4626 (multiplicity 4)
4 Sm 0.2008 0.0000 0.7952 (multiplicity 4)
5 Cd 0.1870 0.0000 0.2295 (multiplicity 4)
6 Cu 0.0000 0.5000 0.5000 (multiplicity 2)

Calculated values
V	327	Å³/f.u.
energy of formation	-92	meV/atom


VASP calculation (PBE) on TmHf3Sc6 after structural relaxation.

a = 10.3681 Å, b = 3.2539 Å, c = 15.0608 Å
α = 90.00°, β = 105.28°, γ = 90.00°
Space group P2_1/m (No. 11)
Symmetry-distinct sites (fractional):
1 Tm 0.0238 0.2500 0.3098 (multiplicity 2)
2 Hf 0.2535 0.2500 0.0331 (multiplicity 2)
3 Hf 0.3353 0.7500 0.7115 (multiplicity 2)
4 Hf 0.4505 0.2500 0.5874 (multiplicity 2)
5 Sc 0.0456 0.7500 0.1021 (multiplicity 2)
6 Sc 0.1395 0.2500 0.5533 (multiplicity 2)
7 Sc 0.2087 0.7500 0.8633 (multiplicity 2)
8 Sc 0.2758 0.7500 0.4211 (multiplicity 2)
9 Sc 0.3454 0.2500 0.2435 (multiplicity 2)
10 Sc 0.4856 0.2500 0.8974 (multiplicity 2)

Calculated values
V	245	Å³/f.u.
energy of formation	129	meV/atom


VASP calculation (PBE) on YCrP after structural relaxation.

a = 3.1700 Å, b = 3.1700 Å, c = 10.1933 Å
α = 90.00°, β = 90.00°, γ = 90.00°
Space group I4mm (No. 107)
Symmetry-distinct sites (fractional):
1 Y 0.0000 0.0000 0.0000 (multiplicity 2)
2 Cr 0.0000 0.0000 0.2946 (multiplicity 2)
3 P 0.0000 0.0000 0.7068 (multiplicity 2)

Calculated values
V	51	Å³/f.u.
energy of formation	-366	meV/atom


VASP calculation (PBE) on Ho2ZrN after structural relaxation.

a = 3.3294 Å, b = 3.3294 Å, c = 27.3930 Å
α = 90.00°, β = 90.00°, γ = 120.00°
Space group R-3m (No. 166, hexagonal axes)
Symmetry-distinct sites (fractional):
1 Ho 0.0000 0.0000 0.1173 (multiplicity 6)
2 Zr 0.0000 0.0000 0.0000 (multiplicity 3)
3 N 0.0000 0.0000 0.5000 (multiplicity 3)

Calculated values
V	88	Å³/f.u.
formation energy from raw total energies	-0.58	eV/atom


VASP calculation (PBE) on Pb2C after structural relaxation.

a = 5.2144 Å, b = 5.2144 Å, c = 3.1588 Å
α = 90.00°, β = 90.00°, γ = 120.00°
Space group P6/mmm (No. 191)
Symmetry-distinct sites (fractional):
1 Pb 0.3333 0.6667 0.0000 (multiplicity 2)
2 C 0.0000 0.0000 0.5000 (multiplicity 1)

Calculated values
V	74	Å³/f.u.
ΔE to the lowest computed polymorph	1.058	eV/atom
energy of formation	2102	meV/atom


VASP calculation (PBE) on Pm6TlHg2 after structural relaxation.

a = 5.3037 Å, b = 13.0053 Å, c = 15.9050 Å
α = 90.00°, β = 90.00°, γ = 90.00°
Space group Fmmm (No. 69)
Symmetry-distinct sites (fractional):
1 Pm 0.0000 0.1525 0.1686 (multiplicity 16)
2 Pm 0.0000 0.1571 0.5000 (multiplicity 8)
3 Tl 0.0000 0.0000 0.0000 (multiplicity 4)
4 Hg 0.0000 0.0000 0.3360 (multiplicity 8)

Calculated values
V	274	Å³/f.u.
ΔE to the lowest computed polymorph	0.000	eV/atom
energy of formation	-278	meV/atom


VASP calculation (PBE) on Zn2Ge2Pt after structural relaxation.

a = 6.4167 Å, b = 6.4167 Å, c = 4.3170 Å
α = 90.00°, β = 90.00°, γ = 90.00°
Space group P4/mbm (No. 127)
Symmetry-distinct sites (fractional):
1 Zn 0.1744 0.3256 0.0000 (multiplicity 4)
2 Ge 0.1398 0.6398 0.5000 (multiplicity 4)
3 Pt 0.0000 0.0000 0.5000 (multiplicity 2)

Calculated values
V	89	Å³/f.u.
ΔE to the lowest computed polymorph	0.000	eV/atom
energy of formation	-20	meV/atom